Sr3Pd2Au3 (PBE-GGA, optimized geometry); E = -3.8217 eV per atom; DOS at the Fermi energy = 16.7 states/eV per cell; formation energy = -664 meV per atom; ρ = 8.7 g/cm³; E above lowest polymorph = 0.021 eV/atom; space-group type = Pnma; total moment = 0.000 μB/atom
1.0
-1.5873 3.5499 4.5770
-4.9458 -5.8798 2.8452
12.4860 -6.1130 9.0714
Sr Pd Au
12 8 12
direct
0.1233 0.4673 0.3975
0.6233 0.0327 0.6025
0.8767 0.5327 0.8975
0.3767 0.9673 0.1025
0.8767 0.5327 0.6025
0.3767 0.9673 0.3975
0.1233 0.4673 0.1025
0.6233 0.0327 0.8975
0.6261 0.3330 0.2500
0.1261 0.1670 0.7500
0.3739 0.6670 0.7500
0.8739 0.8330 0.2500
0.8738 0.1226 0.3854
0.3738 0.3774 0.6146
0.1262 0.8774 0.8854
0.6262 0.6226 0.1146
0.1262 0.8774 0.6146
0.6262 0.6226 0.3854
0.8738 0.1226 0.1146
0.3738 0.3774 0.8854
0.1316 0.1828 0.2500
0.6316 0.3172 0.7500
0.8684 0.8172 0.7500
0.3684 0.6828 0.2500
0.5902 0.3257 0.4658
0.0902 0.1743 0.5342
0.4098 0.6743 0.9658
0.9098 0.8257 0.0342
0.4098 0.6743 0.5342
0.9098 0.8257 0.4658
0.5902 0.3257 0.0342
0.0902 0.1743 0.9658

---

SrPdAu3 (PBE-GGA, optimized geometry); E = -3.7275 eV per atom; DOS at the Fermi energy = 7.7 states/eV per cell; formation energy = -386 meV per atom; ρ = 10.7 g/cm³; E above lowest polymorph = 0.108 eV/atom; space-group type = P6_3/mmc; total moment = 0.000 μB/atom
1.0
6.7726 0.0000 0.0000
-3.3863 5.8652 0.0000
0.0000 0.0000 12.2452
Sr Pd Au
4 4 12
direct
0.3333 0.6667 0.2500
0.6667 0.3333 0.7500
0.0000 0.0000 0.5000
0.0000 0.0000 0.0000
0.6667 0.3333 0.1425
0.3333 0.6667 0.6425
0.3333 0.6667 0.8575
0.6667 0.3333 0.3575
0.1339 0.2678 0.7500
0.2678 0.1339 0.2500
0.8661 0.1339 0.2500
0.1339 0.8661 0.7500
0.7322 0.8661 0.7500
0.8661 0.7322 0.2500
0.5000 0.5000 0.5000
0.5000 0.0000 0.0000
0.5000 0.5000 0.0000
0.5000 0.0000 0.5000
0.0000 0.5000 0.5000
0.0000 0.5000 0.0000